Al2IrBr | PBE | relaxed

Lattice parameters (Å, degrees): 6.032 6.032 7.096 64.85 64.85 90.00
Fractional positions:
Ir 0.000 0.000 0.000
Ir 0.750 0.250 0.500
Al 0.062 0.625 0.250
Al 0.875 0.938 0.750
Al 0.688 0.125 0.250
Al 0.375 0.312 0.750
Br 0.500 0.500 0.000
Br 0.250 0.750 0.500

Values from the calculation:
raw formation energy	-0.75	kcal/mol of atoms
ΔE to the lowest computed polymorph	0.481	eV per atom
total moment	0.00	μB/cell

***

BeAgBr3 | PBE | relaxed

Lattice parameters (Å, degrees): 3.749 7.480 10.246 98.52 90.00 90.00
Fractional positions:
Be 0.250 0.790 0.199
Be 0.750 0.210 0.801
Ag 0.750 0.309 0.281
Ag 0.250 0.691 0.719
Br 0.750 0.415 0.669
Br 0.750 0.947 0.677
Br 0.250 0.585 0.331
Br 0.250 0.241 0.929
Br 0.750 0.759 0.071
Br 0.250 0.053 0.323

Values from the calculation:
raw formation energy	-15.41	kcal/mol of atoms
ΔE to the lowest computed polymorph	0.000	eV per atom
total moment	0.00	μB/cell

***

Li2CuH5Rh | PBE | relaxed

Lattice parameters (Å, degrees): 2.882 5.325 9.971 90.00 90.00 105.70
Fractional positions:
Li 0.928 0.856 0.182
Li 0.072 0.144 0.682
Li 0.814 0.629 0.861
Li 0.186 0.371 0.361
Cu 0.212 0.424 0.073
Cu 0.788 0.576 0.573
H 0.261 0.521 0.656
H 0.438 0.875 0.786
H 0.948 0.895 0.523
H 0.562 0.125 0.286
H 0.358 0.716 0.309
H 0.739 0.479 0.156
H 0.621 0.242 0.513
H 0.379 0.758 0.013
H 0.642 0.284 0.809
H 0.052 0.105 0.023
Rh 0.525 0.049 0.921
Rh 0.475 0.951 0.421

Values from the calculation:
calculated total energy	-3.767	eV per atom
total moment	0.00	μB/cell